(1)
This record from Alexandria via LeMat-Bulk describes an optimized crystal structure of RbAgOs2O8. The functional is GGA-PBE.

Values from the calculation:
As for the uncorrected formation energy: -0.98 eV/atom. The mass density is 5.47 Mg/m³. The crystal system is monoclinic. The calculation puts the total DFT energy (no corrections) at -77.72 eV/cell. As for the space-group type: C2/m, No. 12. The calculation puts the volume at 213.0 Å³/cell.

Cell lengths 5.588, 5.588, 7.480 Å; angles 72.88, 72.88, 81.70 degrees
Fractional coordinates of all 12 atoms:
Rb1 0.000 0.000 0.500
Ag1 0.000 0.000 0.000
Os1 0.543 0.543 0.264
Os2 0.457 0.457 0.736
O1 0.762 0.343 0.753
O2 0.735 0.735 0.044
O3 0.655 0.655 0.428
O4 0.345 0.345 0.572
O5 0.265 0.265 0.956
O6 0.343 0.762 0.753
O7 0.657 0.238 0.247
O8 0.238 0.657 0.247

=====

(2)
This record from Alexandria via LeMat-Bulk describes an optimized crystal structure of AgOs2RhO8. The functional is GGA-PBE.

Values from the calculation:
As for the uncorrected formation energy: -0.60 eV/atom. The mass density is 6.71 Mg/m³. The crystal system is trigonal. The calculation puts the total DFT energy (no corrections) at -79.58 eV/cell. As for the space-group type: P-3, No. 147. The calculation puts the volume at 178.0 Å³/cell.

Cell lengths 5.187, 5.187, 7.642 Å; angles 90.00, 90.00, 120.00 degrees
Fractional coordinates of all 12 atoms:
Ag1 0.000 0.000 0.000
Os1 0.667 0.333 0.251
Os2 0.333 0.667 0.749
Rh1 0.000 0.000 0.500
O1 0.333 0.667 0.979
O2 0.331 0.308 0.340
O3 0.692 0.023 0.340
O4 0.667 0.333 0.021
O5 0.308 0.977 0.660
O6 0.669 0.692 0.660
O7 0.023 0.331 0.660
O8 0.977 0.669 0.340

=====

(3)
This record from Alexandria via LeMat-Bulk describes an optimized crystal structure of AgOsSeO2. The functional is GGA-PBE.

Values from the calculation:
As for the uncorrected formation energy: -0.45 eV/atom. The mass density is 8.54 Mg/m³. The crystal system is tetragonal. The calculation puts the total DFT energy (no corrections) at -29.75 eV/cell. As for the space-group type: P4/mmm, No. 123. The calculation puts the volume at 79.6 Å³/cell.

Cell lengths 3.794, 3.794, 5.530 Å; angles 90.00, 90.00, 90.00 degrees
Fractional coordinates of all 5 atoms:
O1 0.000 0.500 0.000
O2 0.500 0.000 0.000
Os1 0.000 0.000 0.000
Se1 0.000 0.000 0.500
Ag1 0.500 0.500 0.500

=====

(4)
This record from Alexandria via LeMat-Bulk describes an optimized crystal structure of SmAg2OsO6. The functional is GGA-PBE.

Values from the calculation:
As for the uncorrected formation energy: -1.27 eV/atom. The mass density is 7.97 Mg/m³. The crystal system is monoclinic. The calculation puts the total DFT energy (no corrections) at -128.18 eV/cell. As for the space-group type: P2_1/c, No. 14. The calculation puts the volume at 271.8 Å³/cell.

Cell lengths 5.720, 5.755, 8.258 Å; angles 90.00, 90.82, 90.00 degrees
Fractional coordinates of all 20 atoms:
Sm1 0.500 0.000 0.000
Sm2 0.000 0.500 0.500
Ag1 0.994 0.987 0.248
Ag2 0.494 0.513 0.748
Ag3 0.006 0.013 0.752
Ag4 0.506 0.487 0.252
Os1 0.500 0.000 0.500
Os2 0.000 0.500 0.000
O1 0.286 0.662 0.041
O2 0.786 0.838 0.541
O3 0.714 0.338 0.959
O4 0.214 0.162 0.459
O5 0.344 0.714 0.456
O6 0.844 0.786 0.956
O7 0.656 0.286 0.544
O8 0.156 0.214 0.044
O9 0.918 0.534 0.224
O10 0.418 0.966 0.724
O11 0.082 0.466 0.776
O12 0.582 0.034 0.276

=====

Spin magnetization in μB per formula unit, matching the order above: 0.0; 0.0; 0.5; 0.0